The following is a PBE-GGA calculation of an optimized crystal structure of LiTmAsO, from the Open Quantum Materials Database.

The structure in POSCAR format:
```
LiTmAsO
1.0
3.4850 0.0000 0.0000
0.0000 7.3557 0.0000
0.0000 0.0000 5.8332
As Li O Tm
2 2 2 2
Cartesian
0.0000 2.2982 2.3331 As
0.0000 5.0575 5.2497 As
1.7425 6.9015 0.3923 Li
1.7425 0.4542 3.3089 Li
1.7425 6.2606 2.2213 O
1.7425 1.0951 5.1379 O
0.0000 5.1311 2.3681 Tm
0.0000 2.2246 5.2847 Tm
```

**SG**: Pmc2_1, No. 26
**Polymorph energy (0 for the lowest one)**: 131 meV per atom

The following is a PBE-GGA calculation of an optimized crystal structure of ReSnAu, from the Open Quantum Materials Database.

The structure in POSCAR format:
```
ReSnAu
1.0
4.0968 -1.3203 -1.3063
1.8859 -3.6409 1.8496
0.4855 -3.7583 -2.4234
Au Re Sn
1 1 1
Cartesian
1.6170 -2.1799 -0.4700 Au
0.0000 0.0000 0.0000 Re
4.8511 -6.5396 -1.4101 Sn
```

**SG**: F-43m, No. 216
**Polymorph energy (0 for the lowest one)**: 0 meV per atom

The following is a PBE-GGA calculation of an optimized crystal structure of YZnFeHg, from the Open Quantum Materials Database.

The structure in POSCAR format:
```
YZnFeHg
1.0
2.9013 -1.6388 3.4552
-1.6548 -3.1342 3.2373
1.5005 -4.5588 -0.0878
Fe Hg Y Zn
1 1 1 1
Cartesian
2.0603 -6.9988 4.9535 Fe
0.6868 -2.3329 1.6512 Hg
1.3735 -4.6659 3.3023 Y
0.0000 0.0000 0.0000 Zn
```

**SG**: F-43m, No. 216
**Polymorph energy (0 for the lowest one)**: 96 meV per atom
**Energy relative to the elements**: 0.100 eV per atom

The magnetization results, record by record, are as follows: 0.0006, 0.4467, 0.6282 μB per atom.